Below is La2PI after structural relaxation, with properties calculated at the PBEsol level.

Unit cell a=8.1337 b=8.1337 c=8.1337 alpha=128.88 beta=128.88 gamma=75.20
Fractional coordinates of all 8 atoms:
La  0.0749  0.6250  0.9499
La  0.3750  0.3249  0.4499
La  0.6751  0.1250  0.0501
La  0.8750  0.9251  0.5501
P  0.0000  0.0000  0.0000
P  0.7500  0.2500  0.5000
I  0.2500  0.7500  0.5000
I  0.5000  0.5000  0.0000

**Volume**: 317.4 Å³ per cell
**Energy relative to the elements, uncorrected**: -0.82 eV per atom
**Space-group type**: No. 122


Below is AlB2MoAu after structural relaxation, with properties calculated at the PBEsol level.

Unit cell a=4.0455 b=4.0455 c=4.5634 alpha=90.00 beta=90.00 gamma=90.00
Fractional coordinates of all 5 atoms:
Al  0.0000  0.0000  0.0000
B  0.0000  0.5000  0.0000
B  0.5000  0.0000  0.0000
Mo  0.0000  0.0000  0.5000
Au  0.5000  0.5000  0.5000

**Volume**: 74.7 Å³ per cell
**Formation enthalpy at 0 K**: 1812.6 meV per atom
**Space-group type**: No. 123


Below is ScSb2P after structural relaxation, with properties calculated at the PBEsol level.

Unit cell a=6.0096 b=5.9447 c=4.1945 alpha=70.29 beta=68.63 gamma=41.08
Fractional coordinates of all 4 atoms:
Sc  0.0000  0.0000  0.0000
Sb  0.0000  0.5000  0.5000
Sb  0.5000  0.0000  0.0000
P  0.5000  0.5000  0.5000

**Volume**: 91.2 Å³ per cell
**Energy relative to the elements, uncorrected**: -0.31 eV per atom
**Space-group type**: No. 69


Below is Mg11Cu2O13 after structural relaxation, with properties calculated at the PBEsol level.

Unit cell a=19.5358 b=19.5358 c=19.5358 alpha=171.23 beta=167.66 gamma=15.16
Fractional coordinates of all 26 atoms:
Mg  0.0000  0.0000  0.0000
Mg  0.0769  0.0769  0.0000
Mg  0.2310  0.2310  0.0000
Mg  0.3081  0.3081  0.0000
Mg  0.3841  0.3841  0.0000
Mg  0.4614  0.4614  0.0000
Mg  0.5386  0.5386  0.0000
Mg  0.6159  0.6159  0.0000
Mg  0.6919  0.6919  0.0000
Mg  0.7690  0.7690  0.0000
Mg  0.9231  0.9231  0.0000
Cu  0.1539  0.1539  0.0000
Cu  0.8461  0.8461  0.0000
O  0.0385  0.5385  0.5000
O  0.1149  0.6149  0.5000
O  0.1930  0.6930  0.5000
O  0.2693  0.7693  0.5000
O  0.3461  0.8461  0.5000
O  0.4229  0.9229  0.5000
O  0.5000  0.0000  0.5000
O  0.5771  0.0771  0.5000
O  0.6539  0.1539  0.5000
O  0.7307  0.2307  0.5000
O  0.8070  0.3070  0.5000
O  0.8851  0.3851  0.5000
O  0.9615  0.4615  0.5000

**Volume**: 243.0 Å³ per cell
**Energy relative to the elements, uncorrected**: -2.37 eV per atom
**Space-group type**: No. 71